The following is a PBE calculation of a relaxed CrTcBr2 crystal, from the Alexandria database.

Calculated values
Magnetic moment = 0.0 μB per formula unit
Calculated density = 7.28 g/cm³
Calculated volume = 70.6 Å³/f.u.
Excess energy over the best structure of this formula in the dataset = 16.233 kcal/mol of atoms
E_form (uncorrected) = 767 meV/atom

CIF file:
```
data_CrTcBr2
_cell_length_a 3.1444
_cell_length_b 3.1444
_cell_length_c 24.7527
_cell_angle_alpha 90.00
_cell_angle_beta 90.00
_cell_angle_gamma 120.00
_space_group_name_H-M_alt 'R -3 m'
_space_group_IT_number 166
_space_group_name_Hall '-R 3 2"'
loop_
_atom_site_label
_atom_site_fract_x
_atom_site_fract_y
_atom_site_fract_z
_atom_site_occupancy
Cr1 0.0000 0.0000 0.0000 1
Tc1 0.0000 0.0000 0.5000 1
Br1 0.0000 0.0000 0.4019 1
```

***

The following is a PBE calculation of a relaxed Ba2LiSiNi crystal, from the Alexandria database.

Calculated values
Magnetic moment = 0.0 μB per formula unit
Calculated density = 3.70 g/cm³
Calculated volume = 165.3 Å³/f.u.
E_form (uncorrected) = -119 meV/atom

CIF file:
```
data_Ba2LiSiNi
_cell_length_a 6.118
_cell_length_b 6.118
_cell_length_c 4.417
_cell_angle_alpha 90.00
_cell_angle_beta 90.00
_cell_angle_gamma 90.00
_space_group_name_H-M_alt 'P 4/m m m'
_space_group_IT_number 123
_space_group_name_Hall '-P 4 2'
loop_
_atom_site_label
_atom_site_fract_x
_atom_site_fract_y
_atom_site_fract_z
_atom_site_occupancy
Ba1 0.000 0.500 0.000 1
Li1 0.000 0.000 0.500 1
Si1 0.500 0.500 0.500 1
Ni1 0.500 0.500 0.000 1
```

***

The following is a PBE calculation of a relaxed CaY2Al9 crystal, from the Alexandria database.

Calculated values
Magnetic moment = 0.0 μB per formula unit
Calculated density = 3.19 g/cm³
Calculated volume = 240.0 Å³/f.u.
Energy relative to the elements = -335 meV/atom

CIF file:
```
data_CaY2Al9
_cell_length_a 5.6218
_cell_length_b 5.6218
_cell_length_c 26.3080
_cell_angle_alpha 90.00
_cell_angle_beta 90.00
_cell_angle_gamma 120.00
_space_group_name_H-M_alt 'R -3 m'
_space_group_IT_number 166
_space_group_name_Hall '-R 3 2"'
loop_
_atom_site_label
_atom_site_fract_x
_atom_site_fract_y
_atom_site_fract_z
_atom_site_occupancy
Ca1 0.0000 0.0000 0.0000 1
Y1 0.0000 0.0000 0.1420 1
Al1 0.0000 0.0000 0.3355 1
Al2 0.0000 0.0000 0.5000 1
Al3 0.0080 0.5040 0.9157 1
```

***

The following is a PBE calculation of a relaxed NaSc3Br crystal, from the Alexandria database.

Calculated values
Magnetic moment = 0.0 μB per formula unit
Calculated density = 2.60 g/cm³
Calculated volume = 152.0 Å³/f.u.
Excess energy over the best structure of this formula in the dataset = 18.011 kcal/mol of atoms
E_form (uncorrected) = 904 meV/atom

CIF file:
```
data_NaSc3Br
_cell_length_a 5.337
_cell_length_b 5.337
_cell_length_c 5.337
_cell_angle_alpha 90.00
_cell_angle_beta 90.00
_cell_angle_gamma 90.00
_space_group_name_H-M_alt 'P m -3 m'
_space_group_IT_number 221
_space_group_name_Hall '-P 4 2 3'
loop_
_atom_site_label
_atom_site_fract_x
_atom_site_fract_y
_atom_site_fract_z
_atom_site_occupancy
Na1 0.000 0.000 0.000 1
Sc1 0.000 0.000 0.500 1
Br1 0.500 0.500 0.500 1
```

***

The following is a PBE calculation of a relaxed PdPb2Cl6 crystal, from the Alexandria database.

Calculated values
Magnetic moment = 2.0 μB per formula unit
Calculated density = 4.53 g/cm³
Calculated volume = 269.1 Å³/f.u.
Excess energy over the best structure of this formula in the dataset = 2.022 kcal/mol of atoms
E_form (uncorrected) = -834 meV/atom

CIF file:
```
data_PdPb2Cl6
_cell_length_a 6.537
_cell_length_b 6.537
_cell_length_c 12.592
_cell_angle_alpha 90.00
_cell_angle_beta 90.00
_cell_angle_gamma 90.00
_space_group_name_H-M_alt 'P 42/m n m'
_space_group_IT_number 136
_space_group_name_Hall '-P 4n 2n'
loop_
_atom_site_label
_atom_site_fract_x
_atom_site_fract_y
_atom_site_fract_z
_atom_site_occupancy
Pd1 0.000 0.000 0.000 1
Pb1 0.000 0.000 0.335 1
Cl1 0.186 0.186 0.150 1
Cl2 0.223 0.223 0.500 1
```

***

The following is a PBE calculation of a relaxed LaSmS crystal, from the Alexandria database.

Calculated values
Magnetic moment = 0.0 μB per formula unit
Calculated density = 5.86 g/cm³
Calculated volume = 91.1 Å³/f.u.
Excess energy over the best structure of this formula in the dataset = 0.269 kcal/mol of atoms
E_form (uncorrected) = -1265 meV/atom

CIF file:
```
data_LaSmS
_cell_length_a 3.9918
_cell_length_b 3.9918
_cell_length_c 6.6021
_cell_angle_alpha 90.00
_cell_angle_beta 90.00
_cell_angle_gamma 120.00
_space_group_name_H-M_alt 'P 3 m 1'
_space_group_IT_number 156
loop_
_space_group_symop_operation_xyz
'x,y,z'
'-y,x-y,z'
'-x+y,-x,z'
'-y,-x,z'
'-x+y,y,z'
'x,x-y,z'
loop_
_atom_site_label
_atom_site_fract_x
_atom_site_fract_y
_atom_site_fract_z
_atom_site_occupancy
La1 0.0000 0.0000 0.0000 1
Sm1 0.6667 0.3333 0.5080 1
S1 0.3333 0.6667 0.2644 1
```

***

The following is a PBE calculation of a relaxed Ti3NbPb2 crystal, from the Alexandria database.

Calculated values
Magnetic moment = 0.0 μB per formula unit
Calculated density = 9.00 g/cm³
Calculated volume = 120.1 Å³/f.u.
Energy relative to the elements = 149 meV/atom

CIF file:
```
data_Ti3NbPb2
_cell_length_a 7.474
_cell_length_b 3.543
_cell_length_c 18.138
_cell_angle_alpha 90.00
_cell_angle_beta 90.00
_cell_angle_gamma 90.00
_space_group_name_H-M_alt 'P n m a'
_space_group_IT_number 62
loop_
_space_group_symop_operation_xyz
'x,y,z'
'-x,-y,-z'
'-x+1/2,-y,z+1/2'
'x+1/2,y,-z+1/2'
'x+1/2,-y+1/2,-z+1/2'
'-x+1/2,y+1/2,z+1/2'
'-x,y+1/2,-z'
'x,-y+1/2,z'
loop_
_atom_site_label
_atom_site_fract_x
_atom_site_fract_y
_atom_site_fract_z
_atom_site_occupancy
Ti1 0.029 0.250 0.146 1
Ti2 0.135 0.250 0.294 1
Ti3 0.139 0.750 0.033 1
Nb1 0.056 0.750 0.559 1
Pb1 0.175 0.250 0.688 1
Pb2 0.241 0.250 0.913 1
```

***

The following is a PBE calculation of a relaxed Fe3NiPt crystal, from the Alexandria database.

Calculated values
Magnetic moment = 10.7 μB per formula unit
Calculated density = 6.99 g/cm³
Calculated volume = 100.1 Å³/f.u.
Excess energy over the best structure of this formula in the dataset = 15.457 kcal/mol of atoms
Energy relative to the elements = 1368 meV/atom

CIF file:
```
data_Fe3NiPt
_cell_length_a 4.643
_cell_length_b 4.643
_cell_length_c 4.643
_cell_angle_alpha 90.00
_cell_angle_beta 90.00
_cell_angle_gamma 90.00
_space_group_name_H-M_alt 'P m -3 m'
_space_group_IT_number 221
_space_group_name_Hall '-P 4 2 3'
loop_
_atom_site_label
_atom_site_fract_x
_atom_site_fract_y
_atom_site_fract_z
_atom_site_occupancy
Fe1 0.000 0.000 0.500 1
Ni1 0.500 0.500 0.500 1
Pt1 0.000 0.000 0.000 1
```

***

The following is a PBE calculation of a relaxed Ba8HgTe3I4 crystal, from the Alexandria database.

Calculated values
Magnetic moment = 1.5 μB per formula unit
Calculated density = 5.07 g/cm³
Calculated volume = 716.6 Å³/f.u.
E_form (uncorrected) = -1399 meV/atom

CIF file:
```
data_Ba8HgTe3I4
_cell_length_a 10.0310
_cell_length_b 10.0310
_cell_length_c 24.6694
_cell_angle_alpha 90.00
_cell_angle_beta 90.00
_cell_angle_gamma 120.00
_space_group_name_H-M_alt 'R -3 m'
_space_group_IT_number 166
_space_group_name_Hall '-R 3 2"'
loop_
_atom_site_label
_atom_site_fract_x
_atom_site_fract_y
_atom_site_fract_z
_atom_site_occupancy
Ba1 0.0000 0.0000 0.2429 1
Ba2 0.0063 0.5031 0.2428 1
Hg1 0.0000 0.0000 0.5000 1
Te1 0.0000 0.5000 0.5000 1
I1 0.0000 0.0000 0.0000 1
I2 0.0000 0.5000 0.0000 1
```

***

The following is a PBE calculation of a relaxed ErZrU crystal, from the Alexandria database.

Calculated values
Magnetic moment = 2.1 μB per formula unit
Calculated density = 10.29 g/cm³
Calculated volume = 80.1 Å³/f.u.
Excess energy over the best structure of this formula in the dataset = 7.095 kcal/mol of atoms
Energy relative to the elements = 626 meV/atom

CIF file:
```
data_ErZrU
_cell_length_a 5.2480
_cell_length_b 5.2480
_cell_length_c 20.1566
_cell_angle_alpha 90.00
_cell_angle_beta 90.00
_cell_angle_gamma 120.00
_space_group_name_H-M_alt 'R -3 m'
_space_group_IT_number 166
_space_group_name_Hall '-R 3 2"'
loop_
_atom_site_label
_atom_site_fract_x
_atom_site_fract_y
_atom_site_fract_z
_atom_site_occupancy
Er1 0.0000 0.0000 0.1234 1
Zr1 0.0000 0.0000 0.4278 1
U1 0.0000 0.0000 0.3023 1
```